This record from the Alexandria database describes a geometry-optimized CaMn4Be structure. The functional is GGA-PBE.

Unit cell a=4.824 b=4.824 c=4.824 alpha=60.00 beta=60.00 gamma=60.00
Fractional positions:
1 Mn 0.130 0.623 0.623
2 Mn 0.623 0.130 0.623
3 Mn 0.623 0.623 0.623
4 Mn 0.623 0.623 0.130
5 Ca 0.000 0.000 0.000
6 Be 0.250 0.250 0.250

## Properties
Its space-group type is No. 216. For the total energy, the calculation gives -6.525 eV/atom.

***

This record from the Alexandria database describes a geometry-optimized Lu2ZrTc structure. The functional is GGA-PBE.

Unit cell a=3.235 b=3.235 c=10.621 alpha=81.24 beta=81.24 gamma=60.00
Fractional positions:
1 Lu 0.899 0.899 0.303
2 Lu 0.101 0.101 0.697
3 Zr 0.000 0.000 0.000
4 Tc 0.500 0.500 0.500

## Properties
The offset from the most stable computed form is 1.06 eV/f.u. Its space-group type is No. 166.

***

This record from the Alexandria database describes a geometry-optimized AcH2IrO6 structure. The functional is GGA-PBE.

Unit cell a=5.837 b=5.158 c=5.147 alpha=84.92 beta=107.64 gamma=130.64
Fractional positions:
1 Ac 0.987 0.496 0.472
2 O 0.638 0.908 0.716
3 O 0.782 0.508 0.884
4 O 0.779 0.865 0.259
5 O 0.198 0.471 0.071
6 O 0.201 0.123 0.705
7 O 0.322 0.051 0.247
8 H 0.532 0.351 0.807
9 H 0.529 0.698 0.167
10 Ir 0.997 0.005 0.974

## Properties
Its space-group type is No. 1. For the total energy, the calculation gives -6.317 eV/atom.